A relaxed structure of HfZnCd2, computed with PBE.

Results
crystal system	cubic
theoretical density	10.1	g cm⁻³
formation energy from the elements	76	meV per atom

a = 4.781 Å, b = 4.781 Å, c = 4.781 Å
α = 60.00°, β = 60.00°, γ = 60.00°
Atoms (fractional coordinates):
1 Hf 0.000 0.000 0.000
2 Zn 0.250 0.250 0.250
3 Cd 0.500 0.500 0.500
4 Cd 0.750 0.750 0.750